No. 1
The following is a DFT calculation (GGA-PBE) of a relaxed structure of Fe2SiPb.

Values from the calculation:
Symmetry   P4/mmm, No. 123
E_form (uncorrected)   509 meV per atom
Calculated total energy   -6.005 eV/atom
Offset from the most stable computed form   0.354 eV per atom

Geometry as POSCAR:
```
Fe2SiPb
1.0
-2.6112 -0.0068 -3.3718
-0.8008 -4.1416 0.6285
-2.4385 0.7579 1.8869
Fe Pb Si
2 1 1
Direct
0.0000 0.0000 0.0000
0.5000 0.5000 0.0000
0.5000 0.0000 0.5000
0.0000 0.5000 0.5000
```


No. 2
The following is a DFT calculation (GGA-PBE) of a relaxed structure of Nb3TeO.

Values from the calculation:
Symmetry   Pm-3m, No. 221
E_form (uncorrected)   1965 meV per atom
Calculated total energy   -5.697 eV/atom
Offset from the most stable computed form   2.526 eV per atom

Geometry as POSCAR:
```
Nb3TeO
1.0
5.0412 0.0000 0.0000
0.0000 5.0412 0.0000
0.0000 0.0000 5.0412
Nb Te O
3 1 1
Direct
0.0000 0.5000 0.0000
0.0000 0.0000 0.5000
0.5000 0.0000 0.0000
0.0000 0.0000 0.0000
0.5000 0.5000 0.5000
```


No. 3
The following is a DFT calculation (GGA-PBE) of a relaxed structure of TbSm2MgTl4.

Values from the calculation:
Symmetry   R-3m, No. 166
Calculated total energy   -3.454 eV/atom
Formation energy from the elements   -7.209 kcal/mol of atoms

Geometry as POSCAR:
```
TbSm2MgTl4
1.0
-2.8541 -4.0208 1.9735
1.5562 -5.0122 -0.8146
4.4175 -2.7361 7.9607
Tb Sm Mg Tl
1 2 1 4
Direct
0.0000 0.0000 0.0000
0.7578 0.7578 0.7267
0.2422 0.2422 0.2733
0.5000 0.5000 0.5000
0.3742 0.3742 0.8775
0.8772 0.8772 0.3685
0.1228 0.1228 0.6315
0.6258 0.6258 0.1225
```


No. 4
The following is a DFT calculation (GGA-PBE) of a relaxed structure of AlOs2Au.

Values from the calculation:
Symmetry   Cm, No. 8
Calculated total energy   -7.228 eV/atom
Formation energy from the elements   3.280 kcal/mol of atoms

Geometry as POSCAR:
```
AlOs2Au
1.0
4.7391 0.0007 0.0069
3.8752 2.7280 0.0069
0.8347 0.2644 4.6918
Os Au Al
2 1 1
Direct
0.9923 0.9923 0.0381
0.2487 0.2487 0.2229
0.7525 0.7525 0.7275
0.5065 0.5065 0.5115
```


No. 5
The following is a DFT calculation (GGA-PBE) of a relaxed structure of Ba5Ga2S8.

Values from the calculation:
Symmetry   Cmce, No. 64
E_form (uncorrected)   -1667 meV per atom
Calculated total energy   -4.913 eV/atom

Geometry as POSCAR:
```
Ba5Ga2S8
1.0
12.0167 0.0000 0.0000
0.0000 12.3104 0.0000
0.0000 -6.1552 11.3830
Ba Ga S
20 8 32
Direct
0.7500 0.5094 0.5000
0.2500 0.9906 0.5000
0.2500 0.4906 0.5000
0.7500 0.0094 0.5000
0.5050 0.2604 0.1957
0.0050 0.2396 0.8043
0.9950 0.5647 0.8043
0.4950 0.9353 0.1957
0.4950 0.7396 0.8043
0.9950 0.7604 0.1957
0.0050 0.4353 0.1957
0.5050 0.0647 0.8043
0.3400 0.5979 0.2025
0.8400 0.9021 0.7975
0.1600 0.8954 0.7975
0.6600 0.6046 0.2025
0.6600 0.4021 0.7975
0.1600 0.0979 0.2025
0.8400 0.1046 0.2025
0.3400 0.3954 0.7975
0.5000 0.2505 0.5011
0.0000 0.2495 0.4989
0.5000 0.7495 0.4989
0.0000 0.7505 0.5011
0.2331 0.1888 0.0000
0.7331 0.3112 0.0000
0.2669 0.6888 0.0000
0.7669 0.8112 0.0000
0.0420 0.1449 0.0000
0.5420 0.3551 0.0000
0.4580 0.6449 0.0000
0.9580 0.8551 0.0000
0.7416 0.6509 0.8165
0.2416 0.8491 0.1835
0.7584 0.3344 0.1835
0.2584 0.1656 0.8165
0.2584 0.3491 0.1835
0.7584 0.1509 0.8165
0.2416 0.6656 0.8165
0.7416 0.8344 0.1835
0.0038 0.3347 0.3752
0.5038 0.1653 0.6248
0.3492 0.0330 0.0000
0.4962 0.4595 0.6248
0.9962 0.6653 0.6248
0.4962 0.8347 0.3752
0.5038 0.5405 0.3752
0.0038 0.9595 0.6248
0.3526 0.1875 0.3744
0.8526 0.3125 0.6256
0.1474 0.3131 0.6256
0.6474 0.1869 0.3744
0.6474 0.8125 0.6256
0.1474 0.6875 0.3744
0.8526 0.6869 0.3744
0.3526 0.8131 0.6256
0.6508 0.9670 0.0000
0.1508 0.5330 0.0000
0.8492 0.4670 0.0000
0.9962 0.0405 0.3752
```


No. 6
The following is a DFT calculation (GGA-PBE) of a relaxed structure of Nd4HoS6.

Values from the calculation:
Symmetry   Cmcm, No. 63
E_form (uncorrected)   -2009 meV per atom
Calculated total energy   -6.410 eV/atom

Geometry as POSCAR:
```
Nd4HoS6
1.0
-1.7580 -0.9034 -3.3853
3.2090 -5.8114 2.1541
-16.7969 -5.4979 10.1900
Nd Ho S
8 2 12
Direct
0.8600 0.7199 0.5409
0.4101 0.8201 0.1304
0.1400 0.2801 0.4591
0.5899 0.1799 0.8696
0.8600 0.7199 0.9591
0.1400 0.2801 0.0409
0.5899 0.1799 0.6304
0.4101 0.8201 0.3696
0.6524 0.3047 0.2500
0.3476 0.6953 0.7500
0.5000 0.0000 0.0000
0.5000 0.0000 0.5000
0.0558 0.1115 0.3292
0.9442 0.8885 0.6708
0.9442 0.8885 0.8292
0.0558 0.1115 0.1708
0.7714 0.5428 0.4095
0.2286 0.4572 0.5905
0.2286 0.4572 0.9095
0.7714 0.5428 0.0905
0.2973 0.5945 0.2500
0.7027 0.4055 0.7500
```


No. 7
The following is a DFT calculation (GGA-PBE) of a relaxed structure of CaPaRe4.

Values from the calculation:
Symmetry   F-43m, No. 216
Calculated total energy   -10.119 eV/atom
Formation energy from the elements   2.219 kcal/mol of atoms

Geometry as POSCAR:
```
CaPaRe4
1.0
-1.0404 -0.8388 5.2637
-1.5572 -4.9134 1.7107
3.3749 -3.0313 2.9855
Re Ca Pa
4 1 1
Direct
0.6253 0.6253 0.1241
0.6253 0.1241 0.6253
0.6253 0.6253 0.6253
0.1241 0.6253 0.6253
0.0000 0.0000 0.0000
0.2500 0.2500 0.2500
```


No. 8
The following is a DFT calculation (GGA-PBE) of a relaxed structure of LaMn2NbCl.

Values from the calculation:
Symmetry   P4/mmm, No. 123
E_form (uncorrected)   1508 meV per atom
Calculated total energy   -5.528 eV/atom

Geometry as POSCAR:
```
LaMn2NbCl
1.0
-4.6034 -1.4777 -0.7502
0.7520 -3.9966 3.2578
-1.4993 2.7698 3.7440
Cl Nb Mn La
1 1 2 1
Direct
0.0000 0.5000 0.0000
0.5000 0.5000 0.5000
0.0000 0.0000 0.5000
0.5000 0.0000 0.0000
0.0000 0.0000 0.0000
```


No. 9
The following is a DFT calculation (GGA-PBE) of a relaxed structure of La2SnHgSb.

Values from the calculation:
Symmetry   P4/mmm, No. 123
E_form (uncorrected)   103 meV per atom
Calculated total energy   -3.554 eV/atom

Geometry as POSCAR:
```
La2SnHgSb
1.0
-0.3891 -3.8097 4.7763
4.4111 2.3119 2.2034
-3.5690 4.0261 2.9206
Sb Hg Sn La
1 1 1 2
Direct
0.0000 0.5000 0.0000
0.0000 0.0000 0.0000
0.5000 0.5000 0.5000
0.0000 0.0000 0.5000
0.5000 0.0000 0.0000
```


No. 10
The following is a DFT calculation (GGA-PBE) of a relaxed structure of Ce3BiN2.

Values from the calculation:
Symmetry   I4/mmm, No. 139
E_form (uncorrected)   -1187 meV per atom
Calculated total energy   -7.576 eV/atom
Offset from the most stable computed form   0.000 eV per atom

Geometry as POSCAR:
```
Ce3BiN2
1.0
4.6046 0.0000 -1.0717
-0.2494 4.5978 -1.0717
-0.8475 -0.8948 6.7864
Ce Bi N
3 1 2
Direct
0.5000 0.5000 0.0000
0.7500 0.2500 0.5000
0.2500 0.7500 0.5000
0.0000 0.0000 0.0000
0.6903 0.6903 0.3806
0.3097 0.3097 0.6194
```


No. 11
The following is a DFT calculation (GGA-PBE) of a relaxed structure of LiMg2Ga3.

Values from the calculation:
Symmetry   Cmmm, No. 65
Calculated total energy   -2.556 eV/atom
Formation energy from the elements   -4.418 kcal/mol of atoms
Offset from the most stable computed form   0.000 eV per atom

Geometry as POSCAR:
```
LiMg2Ga3
1.0
4.2453 0.0000 0.0193
2.1226 6.4087 0.0096
-0.0364 0.0000 7.9986
Li Mg Ga
2 4 6
Direct
0.3315 0.3369 0.0000
0.6685 0.6631 0.0000
0.0000 0.0000 0.0000
0.0000 0.0000 0.5000
0.3335 0.3330 0.5000
0.6665 0.6670 0.5000
0.8306 0.3389 0.7577
0.5000 0.0000 0.2475
0.1694 0.6610 0.2423
0.8305 0.3389 0.2423
0.1695 0.6610 0.7577
0.5000 0.0000 0.7525
```


No. 12
The following is a DFT calculation (GGA-PBE) of a relaxed structure of Cu6Pt5.

Values from the calculation:
Symmetry   P1, No. 1
Calculated total energy   -5.106 eV/atom
Formation energy from the elements   -2.903 kcal/mol of atoms
Offset from the most stable computed form   0.000 eV per atom

Geometry as POSCAR:
```
Cu6Pt5
1.0
-0.2797 4.5688 0.7511
-5.5929 -1.4468 1.7520
-0.2372 0.5745 6.0258
Cu Pt
6 5
Direct
0.0017 0.0028 0.9992
0.4578 0.0933 0.1790
0.9087 0.1803 0.3617
0.8153 0.3636 0.7305
0.7272 0.5426 0.0907
0.0901 0.8177 0.6381
0.3605 0.2655 0.5426
0.2649 0.4458 0.9162
0.1758 0.6359 0.2742
0.6418 0.7385 0.4471
0.5560 0.9139 0.8207
```


No. 13
The following is a DFT calculation (GGA-PBE) of a relaxed structure of ScMn2Si.

Values from the calculation:
Symmetry   Imm2, No. 44
E_form (uncorrected)   -170 meV per atom
Calculated total energy   -7.693 eV/atom

Geometry as POSCAR:
```
ScMn2Si
1.0
5.0239 0.0048 0.0196
4.1609 2.8154 0.0196
1.6905 0.5191 3.7406
Mn Sc Si
2 1 1
Direct
0.0032 0.0032 0.9966
0.7305 0.7305 0.7696
0.4940 0.4940 0.5059
0.2724 0.2724 0.2278
```


No. 14
The following is a DFT calculation (GGA-PBE) of a relaxed structure of LaTmIn2Te4.

Values from the calculation:
Symmetry   P2/m, No. 10
E_form (uncorrected)   -998 meV per atom
Calculated total energy   -4.428 eV/atom

Geometry as POSCAR:
```
LaTmIn2Te4
1.0
4.4935 0.0000 0.0000
0.0000 7.8062 0.1454
0.0000 -2.7282 8.0537
La Tm In Te
1 1 2 4
Direct
0.5000 0.5000 0.0000
0.0000 0.0000 0.0000
0.5000 0.0000 0.5000
0.0000 0.5000 0.5000
0.5000 0.2259 0.2177
0.5000 0.7741 0.7823
0.0000 0.2451 0.7753
0.0000 0.7549 0.2247
```


No. 15
The following is a DFT calculation (GGA-PBE) of a relaxed structure of AlPW.

Values from the calculation:
Symmetry   F-43m, No. 216
Calculated total energy   -6.825 eV/atom
Formation energy from the elements   12.545 kcal/mol of atoms

Geometry as POSCAR:
```
AlPW
1.0
4.1792 0.0000 0.0000
2.0896 3.6193 0.0000
2.0896 1.2064 3.4123
P Al W
1 1 1
Direct
0.5000 0.5000 0.5000
0.0000 0.0000 0.0000
0.2500 0.2500 0.2500
```


No. 16
The following is a DFT calculation (GGA-PBE) of a relaxed structure of P2S4Br.

Values from the calculation:
Symmetry   P1, No. 1
E_form (uncorrected)   -54 meV per atom
Calculated total energy   -4.197 eV/atom

Geometry as POSCAR:
```
P2S4Br
1.0
-7.5479 -2.7351 -0.6474
4.4312 -3.9797 -5.4795
2.7702 -2.6081 9.1621
P S Br
4 8 2
Direct
0.5586 0.4749 0.7374
0.6848 0.7719 0.2519
0.5502 0.4952 0.3754
0.0920 0.2142 0.6171
0.9027 0.0529 0.3694
0.4995 0.7377 0.3751
0.7132 0.5404 0.6006
0.9734 0.9978 0.6776
0.3340 0.2475 0.2621
0.3497 0.1866 0.6066
0.4447 0.6710 0.8020
0.7668 0.5518 0.2892
0.2333 0.6605 0.5988
0.1472 0.1477 0.9366
```


No. 17
The following is a DFT calculation (GGA-PBE) of a relaxed structure of Sm8Dy3Ho.

Values from the calculation:
Symmetry   C2/m, No. 12
Calculated total energy   -4.557 eV/atom
Formation energy from the elements   2.795 kcal/mol of atoms

Geometry as POSCAR:
```
Sm8Dy3Ho
1.0
-11.2960 2.3262 -3.1595
4.8851 -11.2385 -3.1105
-0.3191 7.2741 6.4965
Sm Dy Ho
8 3 1
Direct
0.3214 0.6428 0.9751
0.6786 0.3572 0.0249
0.3210 0.1445 0.9783
0.8235 0.1445 0.9783
0.8212 0.6424 0.9773
0.1788 0.3576 0.0227
0.1765 0.8555 0.0217
0.6790 0.8555 0.0217
0.5000 0.0000 0.0000
0.5000 0.5000 0.0000
0.0000 0.5000 0.0000
0.0000 0.0000 0.0000
```


No. 18
The following is a DFT calculation (GGA-PBE) of a relaxed structure of CdFe2Pt.

Values from the calculation:
Symmetry   Cmmm, No. 65
Calculated total energy   -5.886 eV/atom
Formation energy from the elements   1.946 kcal/mol of atoms

Geometry as POSCAR:
```
CdFe2Pt
1.0
4.7898 0.0027 0.0000
-1.5946 4.5166 0.0000
0.0000 0.0000 2.7669
Cd Fe Pt
1 2 1
Direct
0.0000 0.5000 0.5000
0.0000 0.0000 0.0000
0.5000 0.5000 0.0000
0.5000 0.0000 0.5000
```


No. 19
The following is a DFT calculation (GGA-PBE) of a relaxed structure of Ta2SiTc.

Values from the calculation:
Symmetry   Cmmm, No. 65
E_form (uncorrected)   -196 meV per atom
Calculated total energy   -10.069 eV/atom

Geometry as POSCAR:
```
Ta2SiTc
1.0
2.8457 -0.0021 0.0000
-0.9089 2.6967 0.0000
0.0000 0.0000 8.3702
Si Ta Tc
1 2 1
Direct
0.5000 0.5000 0.7500
0.0000 0.0000 0.9912
0.0000 0.0000 0.5088
0.5000 0.5000 0.2500
```


No. 20
The following is a DFT calculation (GGA-PBE) of a relaxed structure of Ce2TmGa.

Values from the calculation:
Symmetry   Fm-3m, No. 225
Calculated total energy   -4.884 eV/atom
Formation energy from the elements   -0.970 kcal/mol of atoms
Offset from the most stable computed form   0.238 eV per atom

Geometry as POSCAR:
```
Ce2TmGa
1.0
5.3082 0.0000 0.0000
2.6541 4.5970 0.0000
2.6541 1.5323 4.3341
Tm Ga Ce
1 1 2
Direct
0.5000 0.5000 0.5000
0.0000 0.0000 0.0000
0.2500 0.2500 0.2500
0.7500 0.7500 0.7500
```


No. 21
The following is a DFT calculation (GGA-PBE) of a relaxed structure of Al3Rh2Se6.

Values from the calculation:
Symmetry   C2/c, No. 15
E_form (uncorrected)   -519 meV per atom
Calculated total energy   -4.777 eV/atom

Geometry as POSCAR:
```
Al3Rh2Se6
1.0
5.1277 0.0000 1.4304
2.9063 7.9283 -0.5122
-1.0020 -5.1098 13.4976
Al Rh Se
6 4 12
Direct
0.3688 0.9219 0.7484
0.6966 0.2500 0.7500
0.0390 0.5781 0.7516
0.9610 0.4219 0.2484
0.6312 0.0781 0.2516
0.3034 0.7500 0.2500
0.3495 0.8416 0.9993
0.8097 0.3416 0.4993
0.6505 0.1584 0.0007
0.1903 0.6584 0.5007
0.0927 0.8597 0.8724
0.4099 0.1949 0.8733
0.7693 0.5174 0.8721
0.1752 0.3597 0.3724
0.8412 0.0174 0.3721
0.5220 0.6949 0.3733
0.9073 0.1403 0.1276
0.5901 0.8051 0.1267
0.2307 0.4826 0.1279
0.8248 0.6403 0.6276
0.1588 0.9826 0.6279
0.4780 0.3051 0.6267
```


No. 22
The following is a DFT calculation (GGA-PBE) of a relaxed structure of SmYTh2Bi5.

Values from the calculation:
Symmetry   P4/mmm, No. 123
Calculated total energy   -4.942 eV/atom
Formation energy from the elements   2.431 kcal/mol of atoms

Geometry as POSCAR:
```
SmYTh2Bi5
1.0
5.4943 0.0000 0.0000
0.0000 5.4943 0.0000
0.0000 0.0000 11.7505
Sm Y Th Bi
1 1 2 5
Direct
0.0000 0.0000 0.5000
0.0000 0.0000 0.0000
0.5000 0.5000 0.2995
0.5000 0.5000 0.7005
0.0000 0.5000 0.5000
0.5000 0.0000 0.5000
0.0000 0.0000 0.7545
0.0000 0.0000 0.2455
0.5000 0.5000 0.0000
```


| no. | total magnetization (μB per cell) |
| --- | --- |
| 1 | 0.00 |
| 2 | 0.00 |
| 3 | 0.00 |
| 4 | 0.00 |
| 5 | 0.00 |
| 6 | 0.00 |
| 7 | 0.00 |
| 8 | 6.66 |
| 9 | 0.00 |
| 10 | 2.38 |
| 11 | 0.00 |
| 12 | 0.00 |
| 13 | 0.83 |
| 14 | 0.00 |
| 15 | 0.00 |
| 16 | 0.00 |
| 17 | 0.00 |
| 18 | 5.91 |
| 19 | 0.00 |
| 20 | 2.25 |
| 21 | 2.18 |
| 22 | 0.00 |